A plane-wave DFT calculation with PBE was carried out for an optimized crystal structure of MgZnBi2.

The calculation puts the energy relative to the lowest polymorph listed for this composition at 42 meV/atom. For the theoretical density, the calculation gives 8.199 Mg/m³. The energy relative to the elements is 0.06 eV per atom. Its total magnetization is 0.00 μB per atom.

It has space group P4/mmm (No. 123), with a = 4.9192 Å, b = 4.9192 Å, c = 4.2490 Å, α = 90.00°, β = 90.00° and γ = 90.00°. The asymmetric unit holds Mg at (0.0000, 0.0000, 0.0000), Zn at (0.5000, 0.5000, 0.0000) and Bi at (0.0000, 0.5000, 0.5000).

---

A plane-wave DFT calculation with PBE was carried out for an optimized crystal structure of Mg2ZnBi.

The calculation puts the energy relative to the lowest polymorph listed for this composition at 9 meV/atom. For the theoretical density, the calculation gives 5.855 Mg/m³. The energy relative to the elements is -0.05 eV per atom. Its total magnetization is 0.00 μB per atom.

It has space group P4/mmm (No. 123), with a = 3.4209 Å, b = 3.4209 Å, c = 7.8283 Å, α = 90.00°, β = 90.00° and γ = 90.00°. The asymmetric unit holds Mg at (0.0000, 0.0000, 0.2045), Zn at (0.5000, 0.5000, 0.0000) and Bi at (0.5000, 0.5000, 0.5000).

---

A plane-wave DFT calculation with PBE was carried out for an optimized crystal structure of MgZnBi2.

The calculation puts the energy relative to the lowest polymorph listed for this composition at 0 meV/atom. For the theoretical density, the calculation gives 7.061 Mg/m³. The energy relative to the elements is 0.02 eV per atom. Its total magnetization is 0.00 μB per atom.

It has space group Cm (No. 8), with a = 8.6498 Å, b = 4.4240 Å, c = 6.6678 Å, α = 90.00°, β = 110.64° and γ = 90.00°. The asymmetric unit holds Mg at (0.0000, 0.0000, 0.0000), Zn at (0.4612, 0.5000, 0.5120), Bi at (0.3071, 0.0000, 0.6758) and Bi at (0.3566, 0.0000, 0.2063).

---

A plane-wave DFT calculation with PBE was carried out for an optimized crystal structure of MgZrBi2.

For the theoretical density, the calculation gives 7.889 Mg/m³. The energy relative to the elements is -0.15 eV per atom. Its total magnetization is 0.00 μB per atom.

It has space group R-3m (No. 166, hexagonal axes), with a = 4.1919 Å, b = 4.1919 Å, c = 22.1362 Å, α = 90.00°, β = 90.00° and γ = 120.00°. The asymmetric unit holds Mg at (0.0000, 0.0000, 0.0000), Zr at (0.0000, 0.0000, 0.5000) and Bi at (0.0000, 0.0000, 0.2494).

---

A plane-wave DFT calculation with PBE was carried out for an optimized crystal structure of MgZrBi2.

For the theoretical density, the calculation gives 7.736 Mg/m³. The energy relative to the elements is -0.13 eV per atom. Its total magnetization is 0.00 μB per atom.

It has space group R3m (No. 160, hexagonal axes), with a = 4.2833 Å, b = 4.2833 Å, c = 21.6213 Å, α = 90.00°, β = 90.00° and γ = 120.00°. The asymmetric unit holds Mg at (0.0000, 0.0000, 0.0000), Zr at (0.0000, 0.0000, 0.1662), Bi at (0.0000, 0.0000, 0.5811) and Bi at (0.0000, 0.0000, 0.7525).

---

A plane-wave DFT calculation with PBE was carried out for an optimized crystal structure of MgZr2Bi.

For the theoretical density, the calculation gives 6.763 Mg/m³. The energy relative to the elements is 0.22 eV per atom. Its total magnetization is 0.00 μB per atom.

It has space group R-3m (No. 166, hexagonal axes), with a = 3.2313 Å, b = 3.2313 Å, c = 33.8668 Å, α = 90.00°, β = 90.00° and γ = 120.00°. The asymmetric unit holds Mg at (0.0000, 0.0000, 0.0000), Zr at (0.0000, 0.0000, 0.4119) and Bi at (0.0000, 0.0000, 0.5000).

---

A plane-wave DFT calculation with PBE was carried out for an optimized crystal structure of MgZr2Bi.

For the theoretical density, the calculation gives 7.068 Mg/m³. The energy relative to the elements is 0.08 eV per atom. Its total magnetization is 0.00 μB per atom.

It has space group Cm (No. 8), with a = 5.6409 Å, b = 3.2662 Å, c = 10.7692 Å, α = 90.00°, β = 100.11° and γ = 90.00°. The asymmetric unit holds Mg at (0.0000, 0.0000, 0.0000), Zr at (0.0826, 0.5000, 0.7485), Zr at (0.2503, 0.5000, 0.2517) and Bi at (0.1664, 0.0000, 0.4999).

---

A plane-wave DFT calculation with PBE was carried out for an optimized crystal structure of Mg14ZrBi.

For the theoretical density, the calculation gives 2.871 Mg/m³. The energy relative to the elements is -0.01 eV per atom. Its total magnetization is 0.00 μB per atom.

It has space group Amm2 (No. 38), with a = 10.5148 Å, b = 6.2879 Å, c = 11.2068 Å, α = 90.00°, β = 90.00° and γ = 90.00°. The asymmetric unit holds Mg at (0.0000, 0.0000, 0.0000), Mg at (0.0000, 0.0000, 0.4996), Mg at (0.0000, 0.2487, 0.2494), Mg at (0.2448, 0.0000, 0.6664), Mg at (0.2468, 0.2438, 0.9118), Mg at (0.2509, 0.0000, 0.1597), Mg at (0.5000, 0.2476, 0.2474), Zr at (0.5000, 0.0000, 0.9961) and Bi at (0.5000, 0.0000, 0.4997).

---

A plane-wave DFT calculation with PBE was carried out for an optimized crystal structure of MgZr3Bi.

The calculation puts the energy relative to the lowest polymorph listed for this composition at 125 meV/atom. For the theoretical density, the calculation gives 5.278 Mg/m³. The energy relative to the elements is 0.91 eV per atom. Its total magnetization is 0.00 μB per atom.

It has space group Pm-3m (No. 221), with a = 5.4231 Å, b = 5.4231 Å, c = 5.4231 Å, α = 90.00°, β = 90.00° and γ = 90.00°. The asymmetric unit holds Mg at (0.0000, 0.0000, 0.0000), Zr at (0.0000, 0.5000, 0.5000) and Bi at (0.5000, 0.5000, 0.5000).

---

A plane-wave DFT calculation with PBE was carried out for an optimized crystal structure of Mg2ZrBi2.

For the theoretical density, the calculation gives 7.346 Mg/m³. The energy relative to the elements is 0.06 eV per atom. Its total magnetization is 0.00 μB per atom.

It has space group P4/mbm (No. 127), with a = 8.0683 Å, b = 8.0683 Å, c = 3.8737 Å, α = 90.00°, β = 90.00° and γ = 90.00°. The asymmetric unit holds Mg at (0.1270, 0.3730, 0.0000), Zr at (0.0000, 0.0000, 0.0000) and Bi at (0.1767, 0.6767, 0.5000).

---

A plane-wave DFT calculation with PBE was carried out for an optimized crystal structure of Mg2Zr2Bi.

The calculation puts the energy relative to the lowest polymorph listed for this composition at 81 meV/atom. For the theoretical density, the calculation gives 6.200 Mg/m³. The energy relative to the elements is 0.14 eV per atom. Its total magnetization is 0.00 μB per atom.

It has space group P4/mbm (No. 127), with a = 7.3880 Å, b = 7.3880 Å, c = 4.3184 Å, α = 90.00°, β = 90.00° and γ = 90.00°. The asymmetric unit holds Mg at (0.1323, 0.3677, 0.0000), Zr at (0.1577, 0.6577, 0.5000) and Bi at (0.0000, 0.0000, 0.0000).

---

A plane-wave DFT calculation with PBE was carried out for an optimized crystal structure of MgZr3Bi.

The calculation puts the energy relative to the lowest polymorph listed for this composition at 0 meV/atom. For the theoretical density, the calculation gives 6.407 Mg/m³. The energy relative to the elements is 0.78 eV per atom. Its total magnetization is 0.00 μB per atom.

It has space group Pm-3m (No. 221), with a = 5.0839 Å, b = 5.0839 Å, c = 5.0839 Å, α = 90.00°, β = 90.00° and γ = 90.00°. The asymmetric unit holds Mg at (0.0000, 0.0000, 0.0000), Zr at (0.0000, 0.0000, 0.5000) and Bi at (0.5000, 0.5000, 0.5000).